## PmBeI (PBE-GGA)

Data for crystalline PmBeI at its relaxed geometry. Values from VASP.

Summary:
Space group   No. 63
N(E_F)   1.09 states/eV/f.u.
Distance to the lowest polymorph of the same formula   55 meV per atom
Uncorrected formation energy   -572.4 meV per atom

Structure (Quantum ESPRESSO input):
```
&SYSTEM
  ibrav = 0, nat = 6, ntyp = 3
/
ATOMIC_SPECIES
Pm 145.00 Pm.upf
I 126.90 I.upf
Be 9.01 Be.upf
CELL_PARAMETERS angstrom
-2.003 -2.726 -2.281
3.307 -2.583 0.183
-1.894 -5.274 7.966
ATOMIC_POSITIONS crystal
Pm 0.750 0.079 0.843
I 0.250 0.660 0.679
I 0.750 0.340 0.321
Be 0.750 0.478 0.045
Be 0.250 0.522 0.955
Pm 0.250 0.921 0.157
```

## Pu2GeBi (PBE-GGA)

Data for crystalline Pu2GeBi at its relaxed geometry. Values from VASP.

Summary:
Space group   No. 123
N(E_F)   14.68 states/eV/f.u.
Energy relative to the elements   -0.371 eV per atom
Distance to the lowest polymorph of the same formula   0 meV per atom

Structure (Quantum ESPRESSO input):
```
&SYSTEM
  ibrav = 0, nat = 4, ntyp = 3
/
ATOMIC_SPECIES
Pu 244.00 Pu.upf
Bi 208.98 Bi.upf
Ge 72.64 Ge.upf
CELL_PARAMETERS angstrom
-0.686 3.976 -0.034
-2.593 -0.473 -3.055
-4.610 -0.761 4.030
ATOMIC_POSITIONS crystal
Pu 0.000 0.000 0.229
Pu 0.000 0.000 0.771
Bi 0.500 0.500 0.500
Ge 0.500 0.500 0.000
```